1.
DFT (PBE) results for a relaxed HfCd2N crystal.

symmetry = I-42d
ΔE_f (raw) = 119 meV/atom
raw total energy = -78.54 eV for the cell shown
M_tot = 0.0 μB/f.u.

abc: 8.693 8.693 4.226
angles: 90.00 90.00 90.00
Atoms (fractional coordinates):
Hf 0.000 0.000 0.000
Hf 0.000 0.500 0.250
Hf 0.500 0.000 0.750
Hf 0.500 0.500 0.500
Cd 0.148 0.250 0.625
Cd 0.250 0.648 0.875
Cd 0.250 0.852 0.375
Cd 0.352 0.250 0.125
Cd 0.648 0.750 0.125
Cd 0.750 0.148 0.375
Cd 0.750 0.352 0.875
Cd 0.852 0.750 0.625
N 0.000 0.000 0.500
N 0.000 0.500 0.750
N 0.500 0.000 0.250
N 0.500 0.500 0.000



2.
DFT (PBE) results for a relaxed Ca2AgAsH crystal.

symmetry = P4/mmm
raw total energy = -17.83 eV for the cell shown
M_tot = 0.0 μB/f.u.

abc: 4.894 4.894 4.056
angles: 90.00 90.00 90.00
Atoms (fractional coordinates):
Ca 0.000 0.500 0.000
Ca 0.500 0.000 0.000
Ag 0.000 0.000 0.500
As 0.500 0.500 0.500
H 0.000 0.000 0.000



3.
DFT (PBE) results for a relaxed La2TcN crystal.

symmetry = I-42d
ΔE_f (raw) = -31 meV/atom
raw total energy = -114.68 eV for the cell shown
M_tot = 2.0 μB/f.u.

abc: 6.832 6.832 8.365
angles: 90.00 90.00 90.00
Atoms (fractional coordinates):
La 0.188 0.250 0.125
La 0.250 0.688 0.375
La 0.250 0.812 0.875
La 0.312 0.250 0.625
La 0.688 0.750 0.625
La 0.750 0.188 0.875
La 0.750 0.312 0.375
La 0.812 0.750 0.125
Tc 0.000 0.000 0.500
Tc 0.000 0.500 0.750
Tc 0.500 0.000 0.250
Tc 0.500 0.500 0.000
N 0.000 0.000 0.000
N 0.000 0.500 0.250
N 0.500 0.000 0.750
N 0.500 0.500 0.500



4.
DFT (PBE) results for a relaxed Sm3Zn4Cd2 crystal.

symmetry = C2/m
raw total energy = -24.02 eV for the cell shown
M_tot = 0.0 μB/f.u.
ΔH_f (0 K) = -0.33 eV/atom

abc: 5.899 5.899 8.885
angles: 113.59 113.59 47.27
Atoms (fractional coordinates):
Sm 0.000 0.000 0.000
Sm 0.337 0.337 0.327
Sm 0.663 0.663 0.673
Zn 0.056 0.056 0.396
Zn 0.272 0.272 0.947
Zn 0.728 0.728 0.053
Zn 0.944 0.944 0.604
Cd 0.382 0.382 0.716
Cd 0.618 0.618 0.284



5.
DFT (PBE) results for a relaxed TiTeNO2 crystal.

symmetry = P4/mmm
ΔE_f (raw) = -917 meV/atom
raw total energy = -33.87 eV for the cell shown
M_tot = 0.0 μB/f.u.

abc: 3.820 3.820 4.269
angles: 90.00 90.00 90.00
Atoms (fractional coordinates):
Ti 0.000 0.000 0.000
Te 0.500 0.500 0.500
N 0.000 0.000 0.500
O 0.000 0.500 0.000
O 0.500 0.000 0.000



6.
DFT (PBE) results for a relaxed Ti3MoPt crystal.

symmetry = Cmcm
raw total energy = -86.51 eV for the cell shown
M_tot = 0.0 μB/f.u.
ΔH_f (0 K) = -0.54 eV/atom

abc: 8.273 8.273 4.442
angles: 90.00 90.00 148.85
Atoms (fractional coordinates):
Ti 0.054 0.946 0.750
Ti 0.250 0.750 0.750
Ti 0.445 0.555 0.750
Ti 0.555 0.445 0.250
Ti 0.750 0.250 0.250
Ti 0.946 0.054 0.250
Mo 0.151 0.849 0.250
Mo 0.849 0.151 0.750
Pt 0.351 0.649 0.250
Pt 0.649 0.351 0.750



7.
DFT (PBE) results for a relaxed Li2CrCo crystal.

symmetry = Fm-3m
raw total energy = -68.41 eV for the cell shown
M_tot = 1.0 μB/f.u.
ΔH_f (0 K) = 0.86 eV/atom

abc: 5.689 5.689 5.689
angles: 90.00 90.00 90.00
Atoms (fractional coordinates):
Li 0.250 0.250 0.250
Li 0.250 0.250 0.750
Li 0.250 0.750 0.250
Li 0.250 0.750 0.750
Li 0.750 0.250 0.250
Li 0.750 0.250 0.750
Li 0.750 0.750 0.250
Li 0.750 0.750 0.750
Cr 0.000 0.000 0.000
Cr 0.000 0.500 0.500
Cr 0.500 0.000 0.500
Cr 0.500 0.500 0.000
Co 0.000 0.000 0.500
Co 0.000 0.500 0.000
Co 0.500 0.000 0.000
Co 0.500 0.500 0.500



8.
DFT (PBE) results for a relaxed HgSb3Ru crystal.

symmetry = Pm-3m
ΔE_f (raw) = 362 meV/atom
raw total energy = -20.14 eV for the cell shown
M_tot = 0.0 μB/f.u.

abc: 5.174 5.174 5.174
angles: 90.00 90.00 90.00
Atoms (fractional coordinates):
Hg 0.000 0.000 0.000
Sb 0.000 0.500 0.500
Sb 0.500 0.000 0.500
Sb 0.500 0.500 0.000
Ru 0.500 0.500 0.500



9.
DFT (PBE) results for a relaxed GaHg2Pb4 crystal.

symmetry = Cmmm
raw total energy = -36.31 eV for the cell shown
M_tot = 0.0 μB/f.u.
ΔH_f (0 K) = 0.04 eV/atom

abc: 3.482 33.634 3.428
angles: 90.00 90.00 90.00
Atoms (fractional coordinates):
Ga 0.000 0.000 0.000
Ga 0.500 0.500 0.000
Hg 0.000 0.287 0.500
Hg 0.000 0.713 0.500
Hg 0.500 0.213 0.500
Hg 0.500 0.787 0.500
Pb 0.000 0.142 0.000
Pb 0.000 0.436 0.500
Pb 0.000 0.564 0.500
Pb 0.000 0.858 0.000
Pb 0.500 0.064 0.500
Pb 0.500 0.358 0.000
Pb 0.500 0.642 0.000
Pb 0.500 0.936 0.500



10.
DFT (PBE) results for a relaxed Rb4Ce3PtSe8 crystal.

symmetry = C2/m
ΔE_f (raw) = -1364 meV/atom
raw total energy = -77.42 eV for the cell shown
M_tot = 2.0 μB/f.u.

abc: 8.801 8.801 9.320
angles: 116.23 116.23 56.73
Atoms (fractional coordinates):
Rb 0.000 0.000 0.000
Rb 0.000 0.500 0.000
Rb 0.500 0.000 0.000
Rb 0.500 0.500 0.000
Ce 0.000 0.000 0.500
Ce 0.000 0.500 0.500
Ce 0.500 0.000 0.500
Pt 0.500 0.500 0.500
Se 0.225 0.225 0.699
Se 0.229 0.229 0.275
Se 0.260 0.694 0.670
Se 0.306 0.740 0.330
Se 0.694 0.260 0.670
Se 0.740 0.306 0.330
Se 0.771 0.771 0.725
Se 0.775 0.775 0.301



11.
DFT (PBE) results for a relaxed LaGa2Cu crystal.

symmetry = Fm-3m
raw total energy = -64.52 eV for the cell shown
M_tot = 0.0 μB/f.u.
ΔH_f (0 K) = -0.26 eV/atom

abc: 6.895 6.895 6.895
angles: 90.00 90.00 90.00
Atoms (fractional coordinates):
La 0.000 0.000 0.000
La 0.000 0.500 0.500
La 0.500 0.000 0.500
La 0.500 0.500 0.000
Ga 0.250 0.250 0.250
Ga 0.250 0.250 0.750
Ga 0.250 0.750 0.250
Ga 0.250 0.750 0.750
Ga 0.750 0.250 0.250
Ga 0.750 0.250 0.750
Ga 0.750 0.750 0.250
Ga 0.750 0.750 0.750
Cu 0.000 0.000 0.500
Cu 0.000 0.500 0.000
Cu 0.500 0.000 0.000
Cu 0.500 0.500 0.500



12.
DFT (PBE) results for a relaxed KTcNF2 crystal.

symmetry = P4/mmm
ΔE_f (raw) = 680 meV/atom
raw total energy = -20.13 eV for the cell shown
M_tot = 7.0 μB/f.u.

abc: 4.650 4.650 4.849
angles: 90.00 90.00 90.00
Atoms (fractional coordinates):
K 0.000 0.000 0.000
Tc 0.500 0.500 0.500
N 0.000 0.000 0.500
F 0.000 0.500 0.000
F 0.500 0.000 0.000